# 1
6
Lattice="6.568 0.000 0.000 0.000 3.620 0.000 -1.552 0.000 7.311" Properties=species:S:1:pos:R:3 comment="BiSbP | Alexandria | GGA-PBE | optimized geometry" vol_a3_per_cell=174 rho_g_cm3=6.91 relative_energy_ev_per_atom=0.078 spacegroup="No. 6" e_form_raw_ev_per_atom=0.17 n_ef_per_ev_fu=0.95 pbc="T T T"
Bi 0.000 0.000 0.000
Bi 1.418 0.000 6.346
Sb 2.032 1.810 2.212
Sb 4.214 1.810 4.474
P 0.844 0.000 3.667
P 5.318 0.000 2.954

***

# 2
3
Lattice="3.743 0.000 0.000 -1.871 3.241 0.000 0.000 0.000 6.468" Properties=species:S:1:pos:R:3 comment="BiSbP | Alexandria | GGA-PBE | optimized geometry" vol_a3_per_cell=78 rho_g_cm3=7.65 relative_energy_ev_per_atom=0.102 spacegroup="No. 156" e_form_raw_ev_per_atom=0.19 n_ef_per_ev_fu=1.31 pbc="T T T"
Bi 0.000 0.000 0.000
Sb 0.000 2.161 3.702
P 1.871 1.080 2.119

***

# 3
4
Lattice="2.063 1.191 8.111 -2.063 1.191 8.111 0.000 -2.383 8.111" Properties=species:S:1:pos:R:3 comment="BiSb2P | Alexandria | GGA-PBE | optimized geometry" vol_a3_per_cell=120 rho_g_cm3=6.71 relative_energy_ev_per_atom=0.000 spacegroup="No. 160" e_form_raw_ev_per_atom=0.13 n_ef_per_ev_fu=0.48 pbc="T T T"
Bi 0.000 0.000 0.000
Sb 0.000 0.000 5.070
Sb 0.000 0.000 9.877
P 0.000 0.000 20.005

***

# 4
4
Lattice="2.102 1.213 8.180 -2.102 1.213 8.180 0.000 -2.427 8.180" Properties=species:S:1:pos:R:3 comment="Bi2SbP | Alexandria | GGA-PBE | optimized geometry" vol_a3_per_cell=125 rho_g_cm3=7.57 relative_energy_ev_per_atom=0.000 spacegroup="No. 160" e_form_raw_ev_per_atom=0.11 n_ef_per_ev_fu=0.57 pbc="T T T"
Bi 0.000 0.000 0.000
Bi 0.000 0.000 4.612
Sb 0.000 0.000 19.244
P 0.000 0.000 14.983